# 1
Below is Tb12Sm7Dy after structural relaxation, with properties calculated at the PBE level.

Cell: 12.0092 12.0092 16.1716 Å, 90.00 90.00 120.00°
With the nearest neighbours (Å) after each atom.
Space group R-3 (No. 148, hexagonal axes)
One atom of each set of equivalent atoms:
Tb 0.0244 0.4499 0.2225  4 Tb 3.25-3.63, 1 Dy 3.42, 2 Sm 3.52-3.60
Tb 0.0514 0.5865 0.5824  4 Tb 3.22-3.42, 2 Sm 3.31-3.49
Sm 0.0000 0.0000 0.0000  6 Tb 3.31
Sm 0.0561 0.1890 0.2906  3 Sm 3.43-3.50, 7 Tb 3.49-3.81
Dy 0.0000 0.0000 0.5000  6 Tb 3.42

The value obtained for the calculated formation energy is 0.235 eV per atom.



# 2
Below is Li3Tb2SmSe6 after structural relaxation, with properties calculated at the PBE level.

Cell: 7.1195 12.3337 6.9261 Å, 90.00 110.02 90.00°
With the nearest neighbours (Å) after each atom.
Space group C2/m (No. 12)
One atom of each set of equivalent atoms:
Li 0.0000 0.0000 0.0000  6 Se 2.83-2.87
Li 0.0000 0.3326 0.0000  6 Se 2.83-2.88
Tb 0.0000 0.1666 0.5000  6 Se 2.88-2.89
Sm 0.0000 0.5000 0.5000  6 Se 2.92
Se 0.2464 0.1687 0.2451  3 Li 2.83-2.87, 2 Tb 2.88, 1 Sm 2.92
Se 0.2477 0.0000 0.7557  3 Li 2.83-2.88, 2 Tb 2.89, 1 Sm 2.92

The value obtained for the formation energy (no corrections) is -1.690 eV per atom.



# 3
Below is Th2Te2C after structural relaxation, with properties calculated at the PBE level.

Cell: 4.3441 16.1626 8.0756 Å, 90.00 90.00 90.00°
With the nearest neighbours (Å) after each atom.
Space group Cmc2_1 (No. 36)
One atom of each set of equivalent atoms:
Th 0.0000 0.0469 0.0000  2 C 2.51-2.59
Th 0.0000 0.3563 0.8531  2 C 2.44
Te 0.0000 0.2853 0.4976  3 Th 3.09-3.36, 1 Te 3.46
Te 0.0000 0.4387 0.1989  5 Th 3.09-3.27, 2 C 3.26, 1 Te 3.46
C 0.0000 0.0800 0.3037  4 Th 2.44-2.59

The value obtained for the formation energy (no corrections) is -0.833 eV per atom.



# 4
Below is Er2SiSe after structural relaxation, with properties calculated at the PBE level.

Cell: 4.0251 4.0251 21.0402 Å, 90.00 90.00 120.00°
With the nearest neighbours (Å) after each atom.
Space group R3m (No. 160, hexagonal axes)
One atom of each set of equivalent atoms:
Er 0.0000 0.0000 0.0000  3 Si 2.83, 3 Se 3.04
Er 0.0000 0.0000 0.1816  3 Si 2.81, 3 Se 2.98
Si 0.0000 0.0000 0.5900  6 Er 2.81-2.83
Se 0.0000 0.0000 0.7596  6 Er 2.98-3.04

The value obtained for the formation energy (no corrections) is -1.170 eV per atom.



# 5
Below is LiPrSc after structural relaxation, with properties calculated at the PBE level.

Cell: 3.4323 3.4323 8.1483 Å, 90.00 90.00 120.00°
With the nearest neighbours (Å) after each atom.
Space group P3m1 (No. 156)
One atom of each set of equivalent atoms:
Li 0.0000 0.0000 0.0000  3 Sc 3.23, 6 Li 3.43, 3 Pr 3.48
Pr 0.3333 0.6667 0.6486  3 Sc 3.38, 6 Pr 3.43, 3 Li 3.48
Sc 0.6667 0.3333 0.3131  3 Li 3.23, 3 Pr 3.38, 6 Sc 3.43

The value obtained for the calculated formation energy is 0.148 eV per atom.



# 6
Below is Ag2PdAu after structural relaxation, with properties calculated at the PBE level.

Cell: 6.5197 6.5197 6.5197 Å, 90.00 90.00 90.00°
With the nearest neighbours (Å) after each atom.
Space group F-43m (No. 216)
One atom of each set of equivalent atoms:
Ag 0.0000 0.0000 0.0000  4 Pd 2.82, 4 Ag 2.82
Ag 0.2500 0.2500 0.2500  4 Ag 2.82, 4 Au 2.82
Pd 0.2500 0.2500 0.7500  4 Au 2.82, 4 Ag 2.82
Au 0.0000 0.0000 0.5000  4 Ag 2.82, 4 Pd 2.82

The value obtained for the calculated formation energy is -0.037 eV per atom.



# 7
Below is Nd5HoIn3 after structural relaxation, with properties calculated at the PBE level.

Cell: 9.5810 9.5810 6.9071 Å, 90.00 90.00 120.00°
With the nearest neighbours (Å) after each atom.
Space group P6_3/mcm (No. 193)
One atom of each set of equivalent atoms:
Nd 0.0000 0.3380 0.2500  5 In 3.18-3.46
Nd 0.3333 0.6667 0.0000  8 Nd 3.45-3.61, 6 In 3.67
Ho 0.0000 0.0000 0.0000  2 Ho 3.45, 6 In 3.56, 6 Nd 3.67
In 0.0000 0.3246 0.7500  5 Nd 3.18-3.46, 2 Ho 3.56

The value obtained for the calculated formation energy is -0.344 eV per atom.



# 8
Below is Dy2PuMgTl4 after structural relaxation, with properties calculated at the PBE level.

Cell: 5.2865 5.2865 26.7505 Å, 90.00 90.00 120.00°
With the nearest neighbours (Å) after each atom.
Space group R-3m (No. 166, hexagonal axes)
One atom of each set of equivalent atoms:
Dy 0.0000 0.0000 0.2457  8 Tl 3.21-3.50
Pu 0.0000 0.0000 0.0000  8 Tl 3.26-3.35
Mg 0.0000 0.0000 0.5000  8 Tl 3.25-3.31
Tl 0.0000 0.0000 0.1254  4 Dy 3.21-3.22, 3 Mg 3.25, 1 Pu 3.35
Tl 0.0000 0.0000 0.3764  3 Pu 3.26, 4 Dy 3.28-3.50, 1 Mg 3.31

The value obtained for the calculated formation energy is -0.172 eV per atom.